TbPm3Sc3 (PBE-GGA, optimized geometry); magnetization = 0.01 Bohr magnetons per cell; E_form = 1.118 kcal/mol of atoms; polymorph energy (0 for the lowest one) = 0 meV/atom
1.0
9.324 0.000 0.000
-4.662 8.075 0.000
0.000 0.000 5.549
Tb Pm Sc
2 6 6
Direct
0.333 0.667 0.250
0.667 0.333 0.750
0.050 0.249 0.250
0.199 0.950 0.250
0.249 0.199 0.750
0.751 0.801 0.250
0.801 0.050 0.750
0.950 0.751 0.750
0.097 0.485 0.750
0.388 0.903 0.750
0.485 0.388 0.250
0.515 0.612 0.750
0.612 0.097 0.250
0.903 0.515 0.250